No. 1
VASP calculation (PBE-GGA) on an optimized crystal structure of CaSb2OsI.

a = 5.835 Å, b = 5.835 Å, c = 5.631 Å
α = 90.00°, β = 90.00°, γ = 90.00°
Element x y z (fractional)
Sb 0.000 0.500 0.000
Sb 0.500 0.000 0.000
Ca 0.000 0.000 0.000
Os 0.500 0.500 0.500
I 0.000 0.000 0.500

## Properties
**E_form (uncorrected)**: 1.540 eV per atom
**Polymorph energy (0 for the lowest one)**: 652 kJ/mol of formula units
**Total moment**: 2.88 μB per formula unit
**Symmetry**: No. 123

=====

No. 2
VASP calculation (PBE-GGA) on an optimized crystal structure of CaScOsI2.

a = 5.624 Å, b = 4.847 Å, c = 5.624 Å
α = 90.00°, β = 90.00°, γ = 90.00°
Element x y z (fractional)
Os 0.000 0.000 0.000
Sc 0.000 0.500 0.000
Ca 0.500 0.500 0.500
I 0.000 0.000 0.500
I 0.500 0.000 0.000

## Properties
**E_form (uncorrected)**: 0.255 eV per atom
**Total moment**: 0.00 μB per formula unit
**Symmetry**: No. 123

=====

No. 3
VASP calculation (PBE-GGA) on an optimized crystal structure of CaSiOsI2.

a = 5.880 Å, b = 5.746 Å, c = 5.880 Å
α = 90.00°, β = 90.00°, γ = 90.00°
Element x y z (fractional)
Si 0.500 0.500 0.500
I 0.500 0.000 0.000
I 0.000 0.000 0.500
Ca 0.000 0.000 0.000
Os 0.000 0.500 0.000

## Properties
**E_form (uncorrected)**: 1.333 eV per atom
**Total moment**: 2.00 μB per formula unit
**Symmetry**: No. 123

=====

No. 4
VASP calculation (PBE-GGA) on an optimized crystal structure of SrCaOsI2.

a = 6.075 Å, b = 8.111 Å, c = 6.075 Å
α = 90.00°, β = 90.00°, γ = 90.00°
Element x y z (fractional)
Os 0.500 0.500 0.500
I 0.500 0.000 0.000
I 0.000 0.000 0.500
Sr 0.000 0.000 0.000
Ca 0.000 0.500 0.000

## Properties
**E_form (uncorrected)**: 0.903 eV per atom
**Total moment**: 3.92 μB per formula unit
**Symmetry**: No. 123

=====

No. 5
VASP calculation (PBE-GGA) on an optimized crystal structure of CaTeOsI2.

a = 5.529 Å, b = 5.529 Å, c = 5.188 Å
α = 90.00°, β = 90.00°, γ = 90.00°
Element x y z (fractional)
Ca 0.500 0.500 0.500
Os 0.000 0.000 0.000
I 0.500 0.000 0.000
I 0.000 0.500 0.000
Te 0.000 0.000 0.500

## Properties
**E_form (uncorrected)**: 0.081 eV per atom
**Polymorph energy (0 for the lowest one)**: 0 kJ/mol of formula units
**Total moment**: 0.00 μB per formula unit
**Symmetry**: No. 123

=====

No. 6
VASP calculation (PBE-GGA) on an optimized crystal structure of CaZnOs2I.

a = 4.899 Å, b = 4.899 Å, c = 5.122 Å
α = 90.00°, β = 90.00°, γ = 90.00°
Element x y z (fractional)
Os 0.500 0.000 0.000
Os 0.000 0.500 0.000
I 0.000 0.000 0.000
Zn 0.000 0.000 0.500
Ca 0.500 0.500 0.500

## Properties
**E_form (uncorrected)**: 1.646 eV per atom
**Total moment**: 0.00 μB per formula unit
**Symmetry**: No. 123

=====

No. 7
VASP calculation (PBE-GGA) on an optimized crystal structure of Ca4PI5.

a = 4.387 Å, b = 8.855 Å, c = 9.989 Å
α = 102.76°, β = 102.69°, γ = 90.00°
Element x y z (fractional)
I 0.170 0.835 0.340
I 0.830 0.165 0.660
I 0.834 0.666 0.668
I 0.500 0.500 0.000
I 0.166 0.334 0.332
Ca 0.350 0.919 0.699
Ca 0.001 0.220 0.002
Ca 0.650 0.081 0.301
Ca 0.999 0.780 0.998
P 0.500 0.000 0.000

## Properties
**E_form (uncorrected)**: -1.534 eV per atom
**Total moment**: 0.00 μB per formula unit
**Symmetry**: No. 12

=====

No. 8
VASP calculation (PBE-GGA) on an optimized crystal structure of Ca3PI.

a = 7.359 Å, b = 7.771 Å, c = 7.678 Å
α = 111.98°, β = 118.63°, γ = 90.00°
Element x y z (fractional)
Ca 0.924 0.733 0.351
Ca 0.427 0.733 0.351
Ca 0.941 0.749 0.881
Ca 0.076 0.267 0.649
Ca 0.059 0.251 0.119
Ca 0.573 0.267 0.649
P 0.169 0.011 0.339
P 0.831 0.989 0.661
I 0.539 0.288 0.077
I 0.461 0.712 0.923

## Properties
**E_form (uncorrected)**: -0.895 eV per atom
**Polymorph energy (0 for the lowest one)**: 0 kJ/mol of formula units
**Total moment**: 0.00 μB per formula unit
**Symmetry**: No. 12

=====

No. 9
VASP calculation (PBE-GGA) on an optimized crystal structure of Ca2P2I.

a = 5.434 Å, b = 5.434 Å, c = 5.970 Å
α = 62.93°, β = 62.93°, γ = 90.00°
Element x y z (fractional)
Ca 0.250 0.750 0.500
Ca 0.750 0.250 0.500
P 0.617 0.617 0.766
P 0.383 0.383 0.234
I 0.000 0.000 0.000

## Properties
**E_form (uncorrected)**: -0.925 eV per atom
**Total moment**: 1.00 μB per formula unit
**Symmetry**: No. 139

=====

No. 10
VASP calculation (PBE-GGA) on an optimized crystal structure of Ca3PI.

a = 5.590 Å, b = 5.590 Å, c = 5.590 Å
α = 90.00°, β = 90.00°, γ = 90.00°
Element x y z (fractional)
Ca 0.000 0.000 0.500
Ca 0.000 0.500 0.000
Ca 0.500 0.000 0.000
P 0.000 0.000 0.000
I 0.500 0.500 0.500

## Properties
**E_form (uncorrected)**: -0.772 eV per atom
**Polymorph energy (0 for the lowest one)**: 59 kJ/mol of formula units
**Total moment**: 0.00 μB per formula unit
**Symmetry**: No. 221

=====

No. 11
VASP calculation (PBE-GGA) on an optimized crystal structure of Ca2PI.

a = 4.269 Å, b = 4.269 Å, c = 8.099 Å
α = 74.72°, β = 74.72°, γ = 60.00°
Element x y z (fractional)
Ca 0.063 0.063 0.810
Ca 0.272 0.272 0.183
P 0.668 0.668 0.997
I 0.497 0.497 0.510

## Properties
**E_form (uncorrected)**: -1.364 eV per atom
**Polymorph energy (0 for the lowest one)**: 16 kJ/mol of formula units
**Total moment**: 0.00 μB per formula unit
**Symmetry**: No. 160

=====

No. 12
VASP calculation (PBE-GGA) on an optimized crystal structure of CaPI.

a = 7.944 Å, b = 5.629 Å, c = 8.011 Å
α = 89.69°, β = 60.15°, γ = 44.89°
Element x y z (fractional)
I 0.028 0.572 0.222
I 0.972 0.428 0.778
Ca 0.493 0.520 0.757
Ca 0.507 0.480 0.243
P 0.987 0.155 0.263
P 0.013 0.845 0.737

## Properties
**E_form (uncorrected)**: -0.679 eV per atom
**Total moment**: 0.00 μB per formula unit
**Symmetry**: No. 11

=====

No. 13
VASP calculation (PBE-GGA) on an optimized crystal structure of Ca2PI.

a = 6.964 Å, b = 6.964 Å, c = 8.229 Å
α = 64.97°, β = 64.97°, γ = 90.00°
Element x y z (fractional)
P 0.500 0.500 0.000
P 0.250 0.750 0.500
I 0.000 0.000 0.000
I 0.750 0.250 0.500
Ca 0.375 0.441 0.750
Ca 0.559 0.125 0.250
Ca 0.191 0.625 0.250
Ca 0.875 0.809 0.750

## Properties
**E_form (uncorrected)**: -1.101 eV per atom
**Polymorph energy (0 for the lowest one)**: 117 kJ/mol of formula units
**Total moment**: 0.00 μB per formula unit
**Symmetry**: No. 122

=====

No. 14
VASP calculation (PBE-GGA) on an optimized crystal structure of Ca2PI.

a = 4.306 Å, b = 4.305 Å, c = 7.879 Å
α = 105.83°, β = 74.15°, γ = 119.97°
Element x y z (fractional)
Ca 0.396 0.854 0.689
Ca 0.854 0.396 0.311
I 0.625 0.625 0.000
P 0.125 0.125 0.500

## Properties
**E_form (uncorrected)**: -1.406 eV per atom
**Polymorph energy (0 for the lowest one)**: 0 kJ/mol of formula units
**Total moment**: 0.00 μB per formula unit
**Symmetry**: No. 166